Entry 1:
This record from Alexandria describes crystalline NaCd2HRh at its relaxed geometry. The functional is PBE.

Lattice parameters (Å, degrees): 4.8660 4.8660 3.4254 90.00 90.00 90.00
Space group P4/mmm (No. 123)
One atom of each set of equivalent atoms:
Na 0.0000 0.0000 0.0000 [1 per cell]
Cd 0.0000 0.5000 0.5000 [2 per cell]
H 0.5000 0.5000 0.5000 [1 per cell]
Rh 0.5000 0.5000 0.0000 [1 per cell]

Summary:
The total magnetization comes out at 0.0 μB per cell. Its final energy is -13.8 eV/f.u.

Entry 2:
This record from Alexandria describes crystalline Na2CdHRh at its relaxed geometry. The functional is PBE.

Lattice parameters (Å, degrees): 4.8894 4.8894 3.5741 90.00 90.00 90.00
Space group P4/mmm (No. 123)
One atom of each set of equivalent atoms:
Na 0.0000 0.5000 0.0000 [2 per cell]
Cd 0.0000 0.0000 0.5000 [1 per cell]
H 0.5000 0.5000 0.0000 [1 per cell]
Rh 0.5000 0.5000 0.5000 [1 per cell]

Summary:
The total magnetization comes out at 0.0 μB per cell. Its final energy is -14.1 eV/f.u.

Entry 3:
This record from Alexandria describes crystalline Na2CdH6Ru at its relaxed geometry. The functional is PBE.

Lattice parameters (Å, degrees): 7.4193 7.4193 7.4193 90.00 90.00 90.00
Space group Fm-3m (No. 225)
One atom of each set of equivalent atoms:
Na 0.2500 0.2500 0.2500 [8 per cell]
Cd 0.0000 0.0000 0.0000 [4 per cell]
H 0.0000 0.0000 0.2679 [24 per cell]
Ru 0.0000 0.0000 0.5000 [4 per cell]

Summary:
The total magnetization comes out at 0.0 μB per cell. Its final energy is -33.9 eV/f.u.

Entry 4:
This record from Alexandria describes crystalline Na2CdSbH at its relaxed geometry. The functional is PBE.

Lattice parameters (Å, degrees): 4.4809 4.4809 5.0279 90.00 90.00 90.00
Space group P4/mmm (No. 123)
One atom of each set of equivalent atoms:
Na 0.0000 0.5000 0.0000 [2 per cell]
Cd 0.0000 0.0000 0.5000 [1 per cell]
Sb 0.5000 0.5000 0.5000 [1 per cell]
H 0.0000 0.0000 0.0000 [1 per cell]

Summary:
As for the offset from the most stable computed form: 62 meV per atom. The total magnetization comes out at 0.0 μB per cell.

Entry 5:
This record from Alexandria describes crystalline Na2CdSbH at its relaxed geometry. The functional is PBE.

Lattice parameters (Å, degrees): 6.7257 4.7189 7.8870 90.00 109.63 90.00
Space group P2_1/m (No. 11)
One atom of each set of equivalent atoms:
Na 0.1287 0.2500 0.3900 [2 per cell]
Na 0.2481 0.2500 0.9416 [2 per cell]
Cd 0.3936 0.7500 0.3052 [2 per cell]
Sb 0.3560 0.7500 0.6890 [2 per cell]
H 0.1154 0.7500 0.1520 [2 per cell]

Summary:
As for the offset from the most stable computed form: 0 meV per atom. The total magnetization comes out at 0.0 μB per cell.

Entry 6:
This record from Alexandria describes crystalline Na2CdSbH at its relaxed geometry. The functional is PBE.

Lattice parameters (Å, degrees): 4.8753 4.8753 4.4389 90.00 90.00 90.00
Space group P4/mmm (No. 123)
One atom of each set of equivalent atoms:
Na 0.0000 0.5000 0.0000 [2 per cell]
Cd 0.0000 0.0000 0.5000 [1 per cell]
Sb 0.5000 0.5000 0.5000 [1 per cell]
H 0.5000 0.5000 0.0000 [1 per cell]

Summary:
As for the offset from the most stable computed form: 205 meV per atom. The total magnetization comes out at 0.0 μB per cell.